Record 1
# Sr3Rh (PBE-GGA, optimized geometry)
data_Sr3Rh
_chemical_formula_sum 'Sr9 Rh3'
_symmetry_space_group_name_H-M 'R -3 m'
_symmetry_Int_Tables_number 166
_symmetry_space_group_name_Hall '-R 3 2"'
_cell_length_a 11.1376
_cell_length_b 11.1376
_cell_length_c 3.8575
_cell_angle_alpha 90.00
_cell_angle_beta 90.00
_cell_angle_gamma 120.00
loop_
_atom_site_label
_atom_site_fract_x
_atom_site_fract_y
_atom_site_fract_z
Sr1 0.0000 0.5000 0.0000
Rh1 0.0000 0.0000 0.0000
# * E_tot: -32.76 eV per cell
# * E_form: 0.369 eV/atom
# * crystal system: trigonal

---

Record 2
# Sr3Rh (PBE-GGA, optimized geometry)
data_Sr3Rh
_chemical_formula_sum 'Sr3 Rh1'
_symmetry_space_group_name_H-M 'P 4 m m'
_symmetry_Int_Tables_number 99
_symmetry_space_group_name_Hall 'P 4 -2'
_cell_length_a 4.980
_cell_length_b 4.980
_cell_length_c 6.366
_cell_angle_alpha 90.00
_cell_angle_beta 90.00
_cell_angle_gamma 90.00
loop_
_atom_site_label
_atom_site_fract_x
_atom_site_fract_y
_atom_site_fract_z
Sr1 0.000 0.000 0.000
Sr2 0.000 0.500 0.458
Rh1 0.500 0.500 0.178
# * E_tot: -11.88 eV per cell
# * E_form: 0.130 eV/atom
# * crystal system: tetragonal